DFT (PBE-GGA) results for a geometry-optimized LiTb structure.

Results
For the total magnetization, the calculation gives 0.317 μB/atom. The calculation puts the total energy at -5.5 eV/cell. The density is 5.02 g cm⁻³.

```
LiTb
1.0
0.000 3.016 3.016
3.016 0.000 3.016
3.016 3.016 0.000
Tb Li
1 1
direct
0.500 0.500 0.500
0.000 0.000 0.000
```